VASP calculation (PBE-GGA) on a relaxed structure of Dy3Ho7In.

```
data_Dy3Ho7In
_chemical_formula_sum 'Dy3 Ho7 In1'
_space_group_name_H-M_alt 'P 1'
_space_group_IT_number 1
_cell_length_a 6.9238
_cell_length_b 6.9238
_cell_length_c 8.4615
_cell_angle_alpha 90.00
_cell_angle_beta 90.00
_cell_angle_gamma 120.00
loop_
_space_group_symop_operation_xyz
'x,y,z'
loop_
_atom_site_label
_atom_site_type_symbol
_atom_site_fract_x
_atom_site_fract_y
_atom_site_fract_z
_atom_site_occupancy
Dy1 Dy 0.1674 0.3347 0.0000 1
Dy2 Dy 0.1674 0.8326 0.0000 1
Dy3 Dy 0.6653 0.8326 0.0000 1
Ho1 Ho 0.0058 0.5029 0.3367 1
Ho2 Ho 0.3305 0.1653 0.6601 1
Ho3 Ho 0.3333 0.6667 0.6717 1
Ho4 Ho 0.4971 0.5029 0.3367 1
Ho5 Ho 0.4971 0.9942 0.3367 1
Ho6 Ho 0.8347 0.1653 0.6601 1
Ho7 Ho 0.8347 0.6695 0.6601 1
In1 In 0.0000 0.0000 0.3349 1
```

## Properties
* space-group type: P3m1, No. 156
* theoretical density: 8.304 g/cm3
* formation energy from the elements: 118.1 meV per atom